Entry from Alexandria via LeMat-Bulk: an optimized crystal structure of K2In9Pt3 (PBE).

Unit cell a=14.5498 b=8.3723 c=11.8306 alpha=90.00 beta=114.62 gamma=90.00
With the nearest neighbours (Å) after each atom.
Space group C2/c (No. 15)
Symmetry-distinct sites (fractional):
1 K 0.1685 0.0832 0.2494 (multiplicity 8)  11 In 3.36-3.48
2 In 0.0000 0.3630 0.2500 (multiplicity 4)  2 Pt 2.86, 4 In 3.14-3.17
3 In 0.0592 0.0765 0.9259 (multiplicity 8)  3 Pt 2.86-2.95, 5 In 3.14-3.19
4 In 0.1052 0.4125 0.0602 (multiplicity 8)  3 Pt 2.84-2.89, 3 In 3.15-3.16
5 In 0.1085 0.3097 0.7488 (multiplicity 8)  2 Pt 2.84-2.87, 5 In 3.13-3.17
6 In 0.2282 0.4147 0.4294 (multiplicity 8)  3 Pt 2.86-2.91, 5 In 3.13-3.16
7 Pt 0.0840 0.2509 0.5012 (multiplicity 8)  8 In 2.84-2.95
8 Pt 0.2500 0.2500 0.0000 (multiplicity 4)  8 In 2.84-2.93

DFT total energy: -3.52 eV/atom
ρ: 8.6 g/cm³
DOS at the Fermi energy: 5.28 states/eV/f.u.